This record from the Alexandria database describes crystalline Ce12PuTh3 at its relaxed geometry. The functional is GGA-PBE.

```
data_Ce12PuTh3
_chemical_formula_sum 'Ce12 Pu1 Th3'
_cell_length_a 4.775
_cell_length_b 4.775
_cell_length_c 19.112
_cell_angle_alpha 90.00
_cell_angle_beta 90.00
_cell_angle_gamma 90.00
_symmetry_space_group_name_H-M 'P 4/m m m'
_symmetry_Int_Tables_number 123
_symmetry_space_group_name_Hall '-P 4 2'
loop_
_atom_site_label
_atom_site_fract_x
_atom_site_fract_y
_atom_site_fract_z
Ce1 0.000 0.000 0.000
Ce2 0.000 0.000 0.246
Ce3 0.000 0.000 0.500
Ce4 0.000 0.500 0.119
Ce5 0.000 0.500 0.373
Pu1 0.500 0.500 0.000
Th1 0.500 0.500 0.246
Th2 0.500 0.500 0.500
```

Output
volume: 27.2 A^3/atom
DFT formation energy: 13 meV per atom
D(E_F): 1.97 states/eV per atom

This record from the Alexandria database describes crystalline CaTiNi at its relaxed geometry. The functional is GGA-PBE.

```
data_CaTiNi
_chemical_formula_sum 'Ca4 Ti4 Ni4'
_cell_length_a 11.279
_cell_length_b 4.548
_cell_length_c 4.783
_cell_angle_alpha 90.00
_cell_angle_beta 90.00
_cell_angle_gamma 90.00
_symmetry_space_group_name_H-M 'A m m 2'
_symmetry_Int_Tables_number 38
loop_
_symmetry_equiv_pos_as_xyz
'x,y,z'
'-x,-y,z'
'-x,y,z'
'x,-y,z'
'x,y+1/2,z+1/2'
'-x,-y+1/2,z+1/2'
'-x,y+1/2,z+1/2'
'x,-y+1/2,z+1/2'
loop_
_atom_site_label
_atom_site_fract_x
_atom_site_fract_y
_atom_site_fract_z
Ca1 0.155 0.000 0.000
Ti1 0.393 0.000 0.496
Ni1 0.000 0.000 0.501
Ni2 0.500 0.000 0.059
```

Output
volume: 20.4 A^3/atom
DFT formation energy: 143 meV per atom
D(E_F): 1.13 states/eV per atom

This record from the Alexandria database describes crystalline Pr6Ge2PdBr3 at its relaxed geometry. The functional is GGA-PBE.

```
data_Pr6Ge2PdBr3
_chemical_formula_sum 'Pr12 Ge4 Pd2 Br6'
_cell_length_a 19.154
_cell_length_b 4.266
_cell_length_c 8.963
_cell_angle_alpha 90.00
_cell_angle_beta 103.66
_cell_angle_gamma 90.00
_symmetry_space_group_name_H-M 'C 1 2/m 1'
_symmetry_Int_Tables_number 12
loop_
_symmetry_equiv_pos_as_xyz
'x,y,z'
'-x,-y,-z'
'-x,y,-z'
'x,-y,z'
'x+1/2,y+1/2,z'
'-x+1/2,-y+1/2,-z'
'-x+1/2,y+1/2,-z'
'x+1/2,-y+1/2,z'
loop_
_atom_site_label
_atom_site_fract_x
_atom_site_fract_y
_atom_site_fract_z
Pr1 0.007 0.000 0.226
Pr2 0.161 0.500 0.104
Pr3 0.174 0.500 0.567
Ge1 0.166 0.000 0.335
Pd1 0.000 0.500 0.000
Br1 0.000 0.500 0.500
Br2 0.169 0.000 0.832
```

Output
volume: 29.7 A^3/atom
uncorrected formation energy: -1080 meV/atom
D(E_F): 0.61 states/eV per atom

This record from the Alexandria database describes crystalline NiTe8Au2 at its relaxed geometry. The functional is GGA-PBE.

```
data_NiTe8Au2
_chemical_formula_sum 'Ni2 Te16 Au4'
_cell_length_a 10.617
_cell_length_b 8.415
_cell_length_c 7.105
_cell_angle_alpha 90.00
_cell_angle_beta 91.71
_cell_angle_gamma 90.00
_symmetry_space_group_name_H-M 'C 1 2/m 1'
_symmetry_Int_Tables_number 12
loop_
_symmetry_equiv_pos_as_xyz
'x,y,z'
'-x,-y,-z'
'-x,y,-z'
'x,-y,z'
'x+1/2,y+1/2,z'
'-x+1/2,-y+1/2,-z'
'-x+1/2,y+1/2,-z'
'x+1/2,-y+1/2,z'
loop_
_atom_site_label
_atom_site_fract_x
_atom_site_fract_y
_atom_site_fract_z
Ni1 0.000 0.000 0.000
Te1 0.063 0.500 0.674
Te2 0.141 0.271 0.125
Te3 0.148 0.000 0.723
Au1 0.165 0.000 0.337
```

Output
volume: 28.8 A^3/atom
uncorrected formation energy: 58 meV/atom
D(E_F): 0.51 states/eV per atom

This record from the Alexandria database describes crystalline TbPrSb2O8 at its relaxed geometry. The functional is GGA-PBE.

```
data_TbPrSb2O8
_chemical_formula_sum 'Tb2 Pr2 Sb4 O16'
_cell_length_a 5.350
_cell_length_b 5.350
_cell_length_c 11.469
_cell_angle_alpha 90.00
_cell_angle_beta 90.00
_cell_angle_gamma 90.00
_symmetry_space_group_name_H-M 'I -4'
_symmetry_Int_Tables_number 82
loop_
_symmetry_equiv_pos_as_xyz
'x,y,z'
'y,-x,-z'
'-x,-y,z'
'-y,x,-z'
'x+1/2,y+1/2,z+1/2'
'y+1/2,-x+1/2,-z+1/2'
'-x+1/2,-y+1/2,z+1/2'
'-y+1/2,x+1/2,-z+1/2'
loop_
_atom_site_label
_atom_site_fract_x
_atom_site_fract_y
_atom_site_fract_z
Tb1 0.000 0.000 0.000
Pr1 0.000 0.500 0.250
Sb1 0.000 0.000 0.500
Sb2 0.000 0.500 0.750
O1 0.169 0.752 0.840
O2 0.181 0.250 0.415
```

Output
volume: 13.7 A^3/atom
uncorrected formation energy: -2305 meV/atom
D(E_F): 0.00 states/eV per atom

This record from the Alexandria database describes crystalline BaBe2Co at its relaxed geometry. The functional is GGA-PBE.

```
data_BaBe2Co
_chemical_formula_sum 'Ba1 Be2 Co1'
_cell_length_a 3.804
_cell_length_b 3.804
_cell_length_c 4.941
_cell_angle_alpha 90.00
_cell_angle_beta 90.00
_cell_angle_gamma 90.00
_symmetry_space_group_name_H-M 'P 4/m m m'
_symmetry_Int_Tables_number 123
_symmetry_space_group_name_Hall '-P 4 2'
loop_
_atom_site_label
_atom_site_fract_x
_atom_site_fract_y
_atom_site_fract_z
Ba1 0.000 0.000 0.000
Be1 0.000 0.500 0.500
Co1 0.500 0.500 0.000
```

Output
E above lowest polymorph: 1084 meV/atom
volume: 17.9 A^3/atom
DFT formation energy: 1212 meV per atom
D(E_F): 0.89 states/eV per atom

This record from the Alexandria database describes crystalline Pt2WSe at its relaxed geometry. The functional is GGA-PBE.

```
data_Pt2WSe
_chemical_formula_sum 'Pt4 W2 Se2'
_cell_length_a 9.763
_cell_length_b 3.044
_cell_length_c 4.442
_cell_angle_alpha 90.00
_cell_angle_beta 93.49
_cell_angle_gamma 90.00
_symmetry_space_group_name_H-M 'C 1 2/m 1'
_symmetry_Int_Tables_number 12
loop_
_symmetry_equiv_pos_as_xyz
'x,y,z'
'-x,-y,-z'
'-x,y,-z'
'x,-y,z'
'x+1/2,y+1/2,z'
'-x+1/2,-y+1/2,-z'
'-x+1/2,y+1/2,-z'
'x+1/2,-y+1/2,z'
loop_
_atom_site_label
_atom_site_fract_x
_atom_site_fract_y
_atom_site_fract_z
Pt1 0.224 0.000 0.239
W1 0.000 0.500 0.000
Se1 0.000 0.000 0.500
```

Output
volume: 16.5 A^3/atom
uncorrected formation energy: 193 meV/atom
D(E_F): 0.87 states/eV per atom

This record from the Alexandria database describes crystalline HIr2PtS at its relaxed geometry. The functional is GGA-PBE.

```
data_HIr2PtS
_chemical_formula_sum 'H1 Ir2 Pt1 S1'
_cell_length_a 3.936
_cell_length_b 3.936
_cell_length_c 4.075
_cell_angle_alpha 90.00
_cell_angle_beta 90.00
_cell_angle_gamma 90.00
_symmetry_space_group_name_H-M 'P 4/m m m'
_symmetry_Int_Tables_number 123
_symmetry_space_group_name_Hall '-P 4 2'
loop_
_atom_site_label
_atom_site_fract_x
_atom_site_fract_y
_atom_site_fract_z
H1 0.000 0.000 0.000
Ir1 0.000 0.500 0.000
Pt1 0.500 0.500 0.500
S1 0.000 0.000 0.500
```

Output
volume: 12.6 A^3/atom
VASP energy: -27.54 eV per formula unit
D(E_F): 1.64 states/eV per atom

This record from the Alexandria database describes crystalline AcSmPdAu at its relaxed geometry. The functional is GGA-PBE.

```
data_AcSmPdAu
_chemical_formula_sum 'Ac2 Sm2 Pd2 Au2'
_cell_length_a 4.878
_cell_length_b 4.019
_cell_length_c 11.124
_cell_angle_alpha 90.00
_cell_angle_beta 90.00
_cell_angle_gamma 90.00
_symmetry_space_group_name_H-M 'A m m 2'
_symmetry_Int_Tables_number 38
loop_
_symmetry_equiv_pos_as_xyz
'x,y,z'
'-x,-y,z'
'-x,y,z'
'x,-y,z'
'x,y+1/2,z+1/2'
'-x,-y+1/2,z+1/2'
'-x,y+1/2,z+1/2'
'x,-y+1/2,z+1/2'
loop_
_atom_site_label
_atom_site_fract_x
_atom_site_fract_y
_atom_site_fract_z
Ac1 0.000 0.000 0.000
Sm1 0.500 0.000 0.274
Pd1 0.000 0.000 0.726
Au1 0.500 0.000 0.559
```

Output
E above lowest polymorph: 0 meV/atom
volume: 27.3 A^3/atom
DFT formation energy: -796 meV per atom
D(E_F): 0.73 states/eV per atom

This record from the Alexandria database describes crystalline Sm12Y3In5 at its relaxed geometry. The functional is GGA-PBE.

```
data_Sm12Y3In5
_chemical_formula_sum 'Sm96 Y24 In40'
_cell_length_a 18.553
_cell_length_b 18.553
_cell_length_c 18.553
_cell_angle_alpha 90.00
_cell_angle_beta 90.00
_cell_angle_gamma 90.00
_symmetry_space_group_name_H-M 'I a -3 d'
_symmetry_Int_Tables_number 230
_symmetry_space_group_name_Hall '-I 4bd 2c 3'
loop_
_atom_site_label
_atom_site_fract_x
_atom_site_fract_y
_atom_site_fract_z
Sm1 0.021 0.075 0.645
Y1 0.000 0.250 0.125
In1 0.000 0.000 0.000
In2 0.000 0.250 0.375
```

Output
volume: 39.9 A^3/atom
DFT formation energy: 507 meV per atom
D(E_F): 1.88 states/eV per atom

This record from the Alexandria database describes crystalline CaEr4TmS8 at its relaxed geometry. The functional is GGA-PBE.

```
data_CaEr4TmS8
_chemical_formula_sum 'Ca3 Er12 Tm3 S24'
_cell_length_a 8.0186
_cell_length_b 8.0186
_cell_length_c 19.6184
_cell_angle_alpha 90.00
_cell_angle_beta 90.00
_cell_angle_gamma 120.00
_symmetry_space_group_name_H-M 'R 3 m'
_symmetry_Int_Tables_number 160
_symmetry_space_group_name_Hall 'R 3 -2"'
loop_
_atom_site_label
_atom_site_fract_x
_atom_site_fract_y
_atom_site_fract_z
Ca1 0.0000 0.0000 0.0000
Er1 0.0000 0.0000 0.7502
Er2 0.0053 0.5026 0.8757
Tm1 0.0000 0.0000 0.3730
S1 0.0000 0.0000 0.1359
S2 0.0000 0.0000 0.6173
S3 0.0219 0.5109 0.1272
S4 0.1815 0.3629 0.9551
```

Output
volume: 26.0 A^3/atom
uncorrected formation energy: -1998 meV/atom
D(E_F): 0.24 states/eV per atom

This record from the Alexandria database describes crystalline KBa2Fe at its relaxed geometry. The functional is GGA-PBE.

```
data_KBa2Fe
_chemical_formula_sum 'K2 Ba4 Fe2'
_cell_length_a 16.354
_cell_length_b 4.039
_cell_length_c 6.091
_cell_angle_alpha 90.00
_cell_angle_beta 111.85
_cell_angle_gamma 90.00
_symmetry_space_group_name_H-M 'C 1 m 1'
_symmetry_Int_Tables_number 8
loop_
_symmetry_equiv_pos_as_xyz
'x,y,z'
'x,-y,z'
'x+1/2,y+1/2,z'
'x+1/2,-y+1/2,z'
loop_
_atom_site_label
_atom_site_fract_x
_atom_site_fract_y
_atom_site_fract_z
K1 0.000 0.000 0.000
Ba1 0.178 0.000 0.678
Ba2 0.355 0.000 0.355
Fe1 0.193 0.500 0.194
```

Output
E above lowest polymorph: 162 meV/atom
volume: 46.7 A^3/atom
DFT formation energy: 606 meV per atom
D(E_F): 1.68 states/eV per atom